Record 1
A plane-wave DFT calculation with PBE was carried out for a geometry-optimized GdInIrPt structure.

abc: 6.7787 6.7787 6.7787
angles: 90.00 90.00 90.00
Space group F-43m (No. 216)
Inequivalent atoms, fractional coordinates:
Gd  0.0000  0.0000  0.0000 x4
In  0.0000  0.0000  0.5000 x4
Ir  0.2500  0.2500  0.7500 x4
Pt  0.2500  0.2500  0.2500 x4

Crystal system: cubic
Mass density, g cm⁻³: 14.060
ΔE_f, kJ/mol of atoms: -59.4
Calculated volume, Å³ per cell: 311.5
Spin magnetization, Bohr magnetons per cell: 28.07


Record 2
A plane-wave DFT calculation with PBE was carried out for a geometry-optimized FeTcBr2 structure.

abc: 3.2749 3.2749 6.6573
angles: 90.00 90.00 90.00
Space group P4/mmm (No. 123)
Inequivalent atoms, fractional coordinates:
Fe  0.0000  0.0000  0.0000 x1
Tc  0.0000  0.0000  0.5000 x1
Br  0.5000  0.5000  0.2420 x2

ΔE to the lowest computed polymorph, meV per atom: 722.4
Crystal system: tetragonal
Formation energy (no corrections), eV/atom: 0.876
Mass density, g cm⁻³: 7.295
Calculated volume, Å³ per cell: 71.4
Spin magnetization, Bohr magnetons per cell: 0.23


Which of these has the lowest calculated volume? FeTcBr2